[1]
Here is an optimized crystal structure of La3NdSe3O4 from the Open Quantum Materials Database. Energies are from GGA-PBE.

* symmetry: No. 38
* energy relative to the lowest polymorph listed for this composition: 0.004 eV/atom

Cell lengths 8.5210, 6.8589, 6.8589 Å; angles 34.61, 90.00, 90.00 degrees
Atoms (fractional coordinates):
La: 0.5000 0.9838 0.9838
La: 0.7631 0.3144 0.3144
Se: 0.3510 0.6423 0.6423
O: 0.5000 0.3842 0.3842
Se: 0.6490 0.6423 0.6423
Se: 0.0000 0.6821 0.6821
O: 0.7580 0.9110 0.9110
La: 0.2369 0.3144 0.3144
O: 0.0000 0.4117 0.4117
O: 0.2420 0.9110 0.9110
Nd: 0.0000 0.9977 0.9977

[2]
Here is an optimized crystal structure of La3NdSe3O4 from the Open Quantum Materials Database. Energies are from GGA-PBE.

* symmetry: No. 38
* energy relative to the lowest polymorph listed for this composition: 0.000 eV/atom

Cell lengths 8.4941, 6.8812, 6.8812 Å; angles 34.46, 90.00, 90.00 degrees
Atoms (fractional coordinates):
O: 0.7543 0.9099 0.9099
Se: 0.6490 0.6397 0.6397
O: 0.5000 0.3852 0.3852
Se: 0.0000 0.6875 0.6875
La: 0.0000 0.0002 0.0002
O: 0.2457 0.9099 0.9099
La: 0.7615 0.3143 0.3143
O: 0.0000 0.4124 0.4124
Nd: 0.5000 0.9820 0.9820
Se: 0.3510 0.6397 0.6397
La: 0.2385 0.3143 0.3143

[3]
Here is an optimized crystal structure of LaNdSeO2 from the Open Quantum Materials Database. Energies are from GGA-PBE.

* raw total energy: -7.6770 eV/atom
* symmetry: No. 156

Cell lengths 4.0269, 4.0269, 7.0477 Å; angles 90.00, 90.00, 120.00 degrees
Atoms (fractional coordinates):
Se: 0.6667 0.3333 0.0045
O: 0.0000 0.0000 0.3721
La: 0.0000 0.0000 0.7124
O: 0.3333 0.6667 0.6236
Nd: 0.3333 0.6667 0.2873

[4]
Here is an optimized crystal structure of LaNd3Se3O4 from the Open Quantum Materials Database. Energies are from GGA-PBE.

* symmetry: No. 38
* energy relative to the lowest polymorph listed for this composition: 0.000 eV/atom

Cell lengths 8.4467, 6.8252, 6.8252 Å; angles 34.37, 90.00, 90.00 degrees
Atoms (fractional coordinates):
Nd: 0.5000 0.9808 0.9808
Nd: 0.2378 0.3149 0.3149
O: 0.7543 0.9089 0.9089
Se: 0.0000 0.6889 0.6889
O: 0.0000 0.4109 0.4109
Se: 0.3500 0.6416 0.6416
Se: 0.6500 0.6416 0.6416
O: 0.2457 0.9089 0.9089
O: 0.5000 0.3835 0.3835
Nd: 0.7622 0.3149 0.3149
La: 0.0000 0.0000 0.0000

[5]
Here is an optimized crystal structure of LaNdTeO2 from the Open Quantum Materials Database. Energies are from GGA-PBE.

* symmetry: No. 156
* energy relative to the lowest polymorph listed for this composition: 0.086 eV/atom

Cell lengths 4.0864, 4.0864, 7.4696 Å; angles 90.00, 90.00, 120.00 degrees
Atoms (fractional coordinates):
O: 0.0000 0.0000 0.3784
La: 0.0000 0.0000 0.6981
Nd: 0.3333 0.6667 0.3009
O: 0.3333 0.6667 0.6180
Te: 0.6667 0.3333 0.0046

[6]
Here is an optimized crystal structure of La2Nd2Te3O4 from the Open Quantum Materials Database. Energies are from GGA-PBE.

* raw total energy: -7.0587 eV/atom
* symmetry: No. 38

Cell lengths 8.8905, 7.0625, 7.0625 Å; angles 34.03, 90.00, 90.00 degrees
Atoms (fractional coordinates):
O: 0.7445 0.9086 0.9086
La: 0.0000 0.9719 0.9719
Te: 0.5000 0.6954 0.6954
Nd: 0.2620 0.3229 0.3229
O: 0.2555 0.9086 0.9086
O: 0.0000 0.3810 0.3810
Te: 0.1617 0.6392 0.6392
Nd: 0.7380 0.3229 0.3229
La: 0.5000 0.9922 0.9922
Te: 0.8383 0.6392 0.6392
O: 0.5000 0.4130 0.4130

[7]
Here is an optimized crystal structure of LaNdOs from the Open Quantum Materials Database. Energies are from GGA-PBE.

* formation enthalpy at 0 K: 0.703 eV/atom
* symmetry: No. 216

Cell lengths 4.8068, 4.8068, 4.8068 Å; angles 60.00, 60.00, 60.00 degrees
Atoms (fractional coordinates):
La: 0.0000 0.0000 0.0000
Os: 0.7500 0.7500 0.7500
Nd: 0.2500 0.2500 0.2500

[8]
Here is an optimized crystal structure of LaNdP2Os2Se2 from the Open Quantum Materials Database. Energies are from GGA-PBE.

* raw total energy: -7.2061 eV/atom
* symmetry: No. 99

Cell lengths 4.1301, 4.1301, 9.6436 Å; angles 90.00, 90.00, 90.00 degrees
Atoms (fractional coordinates):
Os: 0.0000 0.5000 0.5023
P: 0.5000 0.5000 0.6254
Se: 0.5000 0.0000 0.9957
Nd: 0.0000 0.0000 0.7657
Os: 0.5000 0.0000 0.5023
Se: 0.0000 0.5000 0.9957
P: 0.0000 0.0000 0.3786
La: 0.5000 0.5000 0.2344